No. 1
{"formula": "Hf2Zr3Sc", "functional": "PBE", "state": "relaxed", "cell": [[5.5813, 0.0000, 0.0000], [-2.7906, 4.8335, 0.0000], [0.0000, 0.0000, 5.1051]], "species": ["Hf", "Hf", "Zr", "Zr", "Zr", "Sc"], "fractional_positions": [[0.3333, 0.6667, 0.0000], [0.6667, 0.3333, 0.0000], [0.0000, 0.6630, 0.5000], [0.3370, 0.3370, 0.5000], [0.6630, 0.0000, 0.5000], [0.0000, 0.0000, 0.0000]], "magnetic_moment_mub_per_atom": 0.00, "formation_enthalpy_0k_ev_per_atom": -0.015}

---

No. 2
{"formula": "HfZr2Sc", "functional": "PBE", "state": "relaxed", "cell": [[0.0000, 3.5676, 3.5676], [3.5676, 0.0000, 3.5676], [3.5676, 3.5676, 0.0000]], "species": ["Hf", "Zr", "Zr", "Sc"], "fractional_positions": [[0.0000, 0.0000, 0.0000], [0.2500, 0.2500, 0.2500], [0.5000, 0.5000, 0.5000], [0.7500, 0.7500, 0.7500]], "magnetic_moment_mub_per_atom": 0.00, "formation_enthalpy_0k_ev_per_atom": 0.137}

---

No. 3
{"formula": "Hf2ZrSc", "functional": "PBE", "state": "relaxed", "cell": [[0.0000, 3.5543, 3.5543], [3.5543, 0.0000, 3.5543], [3.5543, 3.5543, 0.0000]], "species": ["Hf", "Hf", "Zr", "Sc"], "fractional_positions": [[0.0000, 0.0000, 0.0000], [0.2500, 0.2500, 0.2500], [0.7500, 0.7500, 0.7500], [0.5000, 0.5000, 0.5000]], "magnetic_moment_mub_per_atom": 0.00, "formation_enthalpy_0k_ev_per_atom": 0.168}

---

No. 4
{"formula": "Hf2Se", "functional": "PBE", "state": "relaxed", "cell": [[0.0000, 5.7925, 5.7925], [5.7925, 0.0000, 5.7925], [5.7925, 5.7925, 0.0000]], "species": ["Hf", "Hf", "Hf", "Hf", "Se", "Se"], "fractional_positions": [[0.0000, 0.0000, 0.0000], [0.0000, 0.0000, 0.5000], [0.0000, 0.5000, 0.0000], [0.5000, 0.0000, 0.0000], [0.1250, 0.1250, 0.1250], [0.8750, 0.8750, 0.8750]], "magnetic_moment_mub_per_atom": 0.74, "total_energy_ev_per_atom": -5.890}

---

No. 5
{"formula": "Hf2Se", "functional": "PBE", "state": "relaxed", "cell": [[0.0000, 4.0810, 4.0810], [4.0810, 0.0000, 4.0810], [4.0810, 4.0810, 0.0000]], "species": ["Hf", "Hf", "Hf", "Hf", "Se", "Se"], "fractional_positions": [[0.0000, 0.0000, 0.0000], [0.0000, 0.0000, 0.5000], [0.0000, 0.5000, 0.0000], [0.5000, 0.0000, 0.0000], [0.3750, 0.3750, 0.3750], [0.6250, 0.6250, 0.6250]], "magnetic_moment_mub_per_atom": 0.00, "total_energy_ev_per_atom": -7.433}

---

No. 6
{"formula": "Hf2Si2Se", "functional": "PBE", "state": "relaxed", "cell": [[3.2557, 0.0000, 0.0000], [-1.6278, 2.8195, 0.0000], [0.0000, 0.0000, 20.7360]], "species": ["Hf", "Hf", "Hf", "Hf", "Si", "Si", "Si", "Si", "Se", "Se"], "fractional_positions": [[0.3333, 0.6667, 0.0958], [0.3333, 0.6667, 0.4042], [0.6667, 0.3333, 0.5958], [0.6667, 0.3333, 0.9042], [0.3333, 0.6667, 0.6934], [0.3333, 0.6667, 0.8066], [0.6667, 0.3333, 0.1934], [0.6667, 0.3333, 0.3066], [0.0000, 0.0000, 0.0000], [0.0000, 0.0000, 0.5000]], "magnetic_moment_mub_per_atom": 0.00, "total_energy_ev_per_atom": -7.183}

---

No. 7
{"formula": "SrHfSe3", "functional": "PBE", "state": "relaxed", "cell": [[7.4412, 0.0000, 0.0000], [0.0000, 10.1997, 0.0000], [0.0000, 0.0000, 7.0231]], "species": ["Sr", "Sr", "Sr", "Sr", "Hf", "Hf", "Hf", "Hf", "Se", "Se", "Se", "Se", "Se", "Se", "Se", "Se", "Se", "Se", "Se", "Se"], "fractional_positions": [[0.0877, 0.2500, 0.0292], [0.4123, 0.7500, 0.5292], [0.5877, 0.2500, 0.4708], [0.9123, 0.7500, 0.9708], [0.0000, 0.0000, 0.5000], [0.0000, 0.5000, 0.5000], [0.5000, 0.0000, 0.0000], [0.5000, 0.5000, 0.0000], [0.0154, 0.7500, 0.3975], [0.1937, 0.5509, 0.8121], [0.1937, 0.9491, 0.8121], [0.3063, 0.0509, 0.3121], [0.3063, 0.4491, 0.3121], [0.4846, 0.2500, 0.8975], [0.5154, 0.7500, 0.1025], [0.6937, 0.5509, 0.6879], [0.6937, 0.9491, 0.6879], [0.8063, 0.0509, 0.1879], [0.8063, 0.4491, 0.1879], [0.9846, 0.2500, 0.6025]], "magnetic_moment_mub_per_atom": 0.00, "total_energy_ev_per_atom": -6.016}

---

No. 8
{"formula": "Sr2HfTcSe6", "functional": "PBE", "state": "relaxed", "cell": [[6.9576, 0.0000, 0.0000], [3.4059, 6.1927, 0.0000], [3.2874, 2.1147, 5.9217]], "species": ["Sr", "Sr", "Hf", "Tc", "Se", "Se", "Se", "Se", "Se", "Se"], "fractional_positions": [[0.2383, 0.2458, 0.2673], [0.7617, 0.7542, 0.7327], [0.0000, 0.0000, 0.0000], [0.5000, 0.5000, 0.5000], [0.1871, 0.3211, 0.6984], [0.2212, 0.8052, 0.6838], [0.3551, 0.7506, 0.1587], [0.6449, 0.2494, 0.8413], [0.7788, 0.1948, 0.3162], [0.8129, 0.6789, 0.3016]], "magnetic_moment_mub_per_atom": 0.29, "total_energy_ev_per_atom": -5.582}

---

| no. | volume (Å³ per cell) |
| --- | --- |
| 1 | 138 |
| 2 | 91 |
| 3 | 90 |
| 4 | 389 |
| 5 | 136 |
| 6 | 190 |
| 7 | 533 |
| 8 | 255 |